Entry 1:
First-principles (GGA-PBE) data for a relaxed structure of LiMgScSn, as listed in Alexandria via LeMat-Bulk.

```
LiMgScSn
1.0
-4.709 -0.146 1.416
-1.951 -4.214 1.623
-1.122 -0.518 4.762
Mg Sn Li Sc
1 1 1 1
Direct
0.250 0.250 0.250
0.750 0.750 0.750
0.500 0.500 0.500
0.000 0.000 0.000
```

Results
DFT total energy = -15.1 eV/cell
offset from the most stable computed form = 64 meV/atom
total moment = 0.0 μB per formula unit

=====

Entry 2:
First-principles (GGA-PBE) data for a relaxed structure of LiMgScSn, as listed in Alexandria via LeMat-Bulk.

```
LiMgScSn
1.0
-2.300 -3.488 0.146
0.942 -0.446 4.182
-3.774 2.535 1.120
Li Mg Sc Sn
1 1 1 1
Direct
0.500 0.000 0.500
0.000 0.500 0.500
0.500 0.500 0.000
0.000 0.000 0.000
```

Results
DFT total energy = -15.4 eV/cell
offset from the most stable computed form = 0 meV/atom
total moment = 0.0 μB per formula unit

=====

Entry 3:
First-principles (GGA-PBE) data for a relaxed structure of Sr2LiMgSc, as listed in Alexandria via LeMat-Bulk.

```
Sr2LiMgSc
1.0
5.996 0.000 0.000
0.000 5.344 0.000
0.000 0.000 5.996
Li Sr Sc Mg
1 2 1 1
Direct
0.000 0.000 0.000
0.500 0.000 0.000
0.000 0.000 0.500
0.000 0.500 0.000
0.500 0.500 0.500
```

Results
DFT total energy = -10.8 eV/cell
total moment = 2.6 μB per formula unit

=====

Entry 4:
First-principles (GGA-PBE) data for a relaxed structure of Li2Tb2Mg5Sc, as listed in Alexandria via LeMat-Bulk.

```
Li2Tb2Mg5Sc
1.0
-1.237 3.216 -2.440
-5.922 -6.650 -5.764
-8.233 1.734 6.460
Mg Sc Tb Li
10 2 4 4
Direct
0.500 0.708 0.442
0.500 0.792 0.942
0.500 0.208 0.058
0.500 0.058 0.792
0.500 0.942 0.208
0.500 0.000 0.500
0.500 0.292 0.558
0.500 0.558 0.708
0.500 0.500 0.000
0.500 0.442 0.292
0.000 0.000 0.000
0.000 0.500 0.500
0.000 0.681 0.181
0.000 0.181 0.319
0.000 0.819 0.681
0.000 0.319 0.819
0.000 0.117 0.617
0.000 0.617 0.883
0.000 0.883 0.383
0.000 0.383 0.117
```

Results
DFT total energy = -55.1 eV/cell
total moment = 0.0 μB per formula unit

=====

Entry 5:
First-principles (GGA-PBE) data for a relaxed structure of LiMgSc2Te4, as listed in Alexandria via LeMat-Bulk.

```
LiMgSc2Te4
1.0
4.136 0.000 0.000
0.000 7.158 0.136
0.000 -2.495 6.987
Sc Li Te Mg
2 1 4 1
Direct
0.000 0.500 0.500
0.500 0.000 0.500
0.000 0.000 0.000
0.500 0.748 0.748
0.000 0.250 0.750
0.500 0.252 0.252
0.000 0.750 0.250
0.500 0.500 0.000
```

Results
DFT total energy = -37.3 eV/cell
total moment = 0.0 μB per formula unit

=====

Entry 6:
First-principles (GGA-PBE) data for a relaxed structure of Li2ThMg5Sc2, as listed in Alexandria via LeMat-Bulk.

```
Li2ThMg5Sc2
1.0
4.756 0.000 0.000
0.000 9.956 0.000
0.000 0.000 9.956
Mg Sc Li Th
10 4 4 2
Direct
0.500 0.500 0.000
0.500 0.212 0.070
0.500 0.570 0.712
0.500 0.430 0.288
0.500 0.000 0.500
0.500 0.712 0.430
0.500 0.930 0.212
0.500 0.288 0.570
0.500 0.788 0.930
0.500 0.070 0.788
0.000 0.820 0.680
0.000 0.680 0.180
0.000 0.180 0.320
0.000 0.320 0.820
0.000 0.115 0.615
0.000 0.615 0.885
0.000 0.385 0.115
0.000 0.885 0.385
0.000 0.500 0.500
0.000 0.000 0.000
```

Results
DFT total energy = -61.8 eV/cell
total moment = 0.0 μB per formula unit

=====

The highest total moment belongs to which entry? Sr2LiMgSc

=====

What is the DFT total energy in the sixth record? -61.8 eV/cell

=====

Which value of DFT total energy does entry 3 give? -10.8 eV/cell

=====

Which value of total moment does entry 2 give? 0.0 μB per formula unit